The following is a DFT calculation (PBE-GGA) of a relaxed structure of RbCoTc2Ge.

Values from the calculation:
space-group type: No. 123
energy relative to the elements: 1.979 eV/atom

abc: 4.7255 5.7488 4.7255
angles: 90.00 90.00 90.00
Fractional positions:
Tc (0.0000, 0.0000, 0.5000)
Tc (0.5000, 0.0000, 0.0000)
Ge (0.0000, 0.0000, 0.0000)
Rb (0.0000, 0.5000, 0.0000)
Co (0.5000, 0.5000, 0.5000)

***

The following is a DFT calculation (PBE-GGA) of a relaxed structure of PmPr.

Values from the calculation:
space-group type: No. 221
energy relative to the elements: 0.137 eV/atom
offset from the most stable computed form: 25 kJ/mol of formula units

abc: 4.1428 4.1428 4.1428
angles: 90.00 90.00 90.00
Fractional positions:
Pr (0.0000, 0.0000, 0.0000)
Pm (0.5000, 0.5000, 0.5000)

***

The following is a DFT calculation (PBE-GGA) of a relaxed structure of MgTlSiMo2.

Values from the calculation:
formation energy without anion corrections: 0.79 eV per atom
space-group type: No. 123

abc: 4.6232 4.7445 4.6232
angles: 90.00 90.00 90.00
Fractional positions:
Si (0.0000, 0.0000, 0.0000)
Mo (0.0000, 0.0000, 0.5000)
Mo (0.5000, 0.0000, 0.0000)
Tl (0.5000, 0.5000, 0.5000)
Mg (0.0000, 0.5000, 0.0000)

***

The following is a DFT calculation (PBE-GGA) of a relaxed structure of Be2MoP.

Values from the calculation:
space-group type: No. 47
energy relative to the elements: -0.064 eV/atom

abc: 3.5035 3.0228 4.3595
angles: 89.99 90.00 90.00
Fractional positions:
Be (0.0000, 0.7503, 0.0167)
Be (0.0000, 0.7497, 0.4834)
P (0.5000, 0.7500, 0.7500)
Mo (0.5000, 0.2500, 0.2500)

***

Values of calculated total energy, in order: -4.705; -4.629; -5.424; -5.988, all in eV/atom.
Values of DOS at the Fermi energy, in order: 2.364; 2.748; 0.889; 0.521, all in states/eV per atom.